# 1
# LaTcPO (PBE-GGA, optimized geometry)
# Electronic total energy   -8.366 eV per atom
# E_form (uncorrected)   -1.95 eV per atom
data_LaTcPO
_chemical_formula_sum 'La2 Tc2 P2 O2'
_cell_length_a 4.083
_cell_length_b 4.083
_cell_length_c 8.587
_cell_angle_alpha 90.00
_cell_angle_beta 90.00
_cell_angle_gamma 90.00
_space_group_name_H-M_alt 'P 4/n m m'
_space_group_IT_number 129
loop_
_space_group_symop_operation_xyz
'x,y,z'
'-x,-y,-z'
'-y+1/2,x,z'
'y+1/2,-x,-z'
'-x+1/2,-y+1/2,z'
'x+1/2,y+1/2,-z'
'y,-x+1/2,z'
'-y,x+1/2,-z'
'x+1/2,-y,-z'
'-x+1/2,y,z'
'-y,-x,-z'
'y,x,z'
'-x,y+1/2,-z'
'x,-y+1/2,z'
'y+1/2,x+1/2,-z'
'-y+1/2,-x+1/2,z'
loop_
_atom_site_label
_atom_site_fract_x
_atom_site_fract_y
_atom_site_fract_z
_atom_site_occupancy
La1 0.250 0.250 0.142 1
Tc1 0.250 0.750 0.500 1
P1 0.250 0.250 0.641 1
O1 0.250 0.750 0.000 1

***

# 2
# Pm8ZnPd2 (PBE-GGA, optimized geometry)
# Energy relative to the lowest polymorph listed for this composition   0.000 eV/atom
# Electronic total energy   -4.844 eV per atom
# Energy of formation from the pure elements   -3.6 eV per formula unit
data_Pm8ZnPd2
_chemical_formula_sum 'Pm16 Zn2 Pd4'
_cell_length_a 18.450
_cell_length_b 5.252
_cell_length_c 6.904
_cell_angle_alpha 90.00
_cell_angle_beta 109.23
_cell_angle_gamma 90.00
_space_group_name_H-M_alt 'C 1 2/m 1'
_space_group_IT_number 12
loop_
_space_group_symop_operation_xyz
'x,y,z'
'-x,-y,-z'
'-x,y,-z'
'x,-y,z'
'x+1/2,y+1/2,z'
'-x+1/2,-y+1/2,-z'
'-x+1/2,y+1/2,-z'
'x+1/2,-y+1/2,z'
loop_
_atom_site_label
_atom_site_fract_x
_atom_site_fract_y
_atom_site_fract_z
_atom_site_occupancy
Pm1 0.029 0.000 0.285 1
Pm2 0.093 0.500 0.971 1
Pm3 0.174 0.500 0.502 1
Pm4 0.199 0.000 0.836 1
Zn1 0.000 0.500 0.500 1
Pd1 0.172 0.000 0.228 1

***

# 3
# AcYTe2 (PBE-GGA, optimized geometry)
# Energy relative to the lowest polymorph listed for this composition   0.003 eV/atom
# Electronic total energy   -5.613 eV per atom
# E_form (uncorrected)   -1.40 eV per atom
data_AcYTe2
_chemical_formula_sum 'Ac3 Y3 Te6'
_cell_length_a 4.4620
_cell_length_b 4.4620
_cell_length_c 23.1303
_cell_angle_alpha 90.00
_cell_angle_beta 90.00
_cell_angle_gamma 120.00
_space_group_name_H-M_alt 'R -3 m'
_space_group_IT_number 166
_space_group_name_Hall '-R 3 2"'
loop_
_atom_site_label
_atom_site_fract_x
_atom_site_fract_y
_atom_site_fract_z
_atom_site_occupancy
Ac1 0.0000 0.0000 0.0000 1
Y1 0.0000 0.0000 0.5000 1
Te1 0.0000 0.0000 0.2412 1

***

# 4
# Li3NiAu (PBE-GGA, optimized geometry)
# Energy relative to the lowest polymorph listed for this composition   0.124 eV/atom
# Electronic total energy   -2.614 eV per atom
# Energy of formation from the pure elements   1.7 eV per formula unit
data_Li3NiAu
_chemical_formula_sum 'Li3 Ni1 Au1'
_cell_length_a 4.714
_cell_length_b 4.714
_cell_length_c 4.714
_cell_angle_alpha 90.00
_cell_angle_beta 90.00
_cell_angle_gamma 90.00
_space_group_name_H-M_alt 'P m -3 m'
_space_group_IT_number 221
_space_group_name_Hall '-P 4 2 3'
loop_
_atom_site_label
_atom_site_fract_x
_atom_site_fract_y
_atom_site_fract_z
_atom_site_occupancy
Li1 0.000 0.000 0.500 1
Ni1 0.500 0.500 0.500 1
Au1 0.000 0.000 0.000 1

***

# 5
# ZrGaPS2 (PBE-GGA, optimized geometry)
# Energy relative to the lowest polymorph listed for this composition   0.410 eV/atom
# Electronic total energy   -4.915 eV per atom
# E_form (uncorrected)   0.13 eV per atom
data_ZrGaPS2
_chemical_formula_sum 'Zr1 Ga1 P1 S2'
_cell_length_a 4.597
_cell_length_b 4.597
_cell_length_c 4.683
_cell_angle_alpha 90.00
_cell_angle_beta 90.00
_cell_angle_gamma 90.00
_space_group_name_H-M_alt 'P 4/m m m'
_space_group_IT_number 123
_space_group_name_Hall '-P 4 2'
loop_
_atom_site_label
_atom_site_fract_x
_atom_site_fract_y
_atom_site_fract_z
_atom_site_occupancy
Zr1 0.000 0.000 0.000 1
Ga1 0.500 0.500 0.500 1
P1 0.500 0.500 0.000 1
S1 0.000 0.500 0.500 1

***

# 6
# YAl2Os (PBE-GGA, optimized geometry)
# Electronic total energy   -6.476 eV per atom
# Energy of formation from the pure elements   -0.7 eV per formula unit
data_YAl2Os
_chemical_formula_sum 'Y2 Al4 Os2'
_cell_length_a 3.154
_cell_length_b 5.012
_cell_length_c 9.539
_cell_angle_alpha 90.00
_cell_angle_beta 90.00
_cell_angle_gamma 90.00
_space_group_name_H-M_alt 'I m m m'
_space_group_IT_number 71
_space_group_name_Hall '-I 2 2'
loop_
_atom_site_label
_atom_site_fract_x
_atom_site_fract_y
_atom_site_fract_z
_atom_site_occupancy
Y1 0.000 0.000 0.000 1
Al1 0.000 0.500 0.215 1
Os1 0.000 0.000 0.500 1

***

# 7
# Nd3Al3Ru (PBE-GGA, optimized geometry)
# Electronic total energy   -5.381 eV per atom
# Energy of formation from the pure elements   -2.9 eV per formula unit
data_Nd3Al3Ru
_chemical_formula_sum 'Nd12 Al12 Ru4'
_cell_length_a 11.762
_cell_length_b 3.934
_cell_length_c 15.516
_cell_angle_alpha 90.00
_cell_angle_beta 106.39
_cell_angle_gamma 90.00
_space_group_name_H-M_alt 'C 1 2/m 1'
_space_group_IT_number 12
loop_
_space_group_symop_operation_xyz
'x,y,z'
'-x,-y,-z'
'-x,y,-z'
'x,-y,z'
'x+1/2,y+1/2,z'
'-x+1/2,-y+1/2,-z'
'-x+1/2,y+1/2,-z'
'x+1/2,-y+1/2,z'
loop_
_atom_site_label
_atom_site_fract_x
_atom_site_fract_y
_atom_site_fract_z
_atom_site_occupancy
Nd1 0.019 0.000 0.388 1
Nd2 0.124 0.000 0.920 1
Nd3 0.239 0.000 0.242 1
Al1 0.025 0.500 0.230 1
Al2 0.094 0.500 0.075 1
Al3 0.182 0.500 0.535 1
Ru1 0.217 0.500 0.374 1

***

# 8
# Tm5Ag2Au2 (PBE-GGA, optimized geometry)
# Electronic total energy   -4.344 eV per atom
# Energy of formation from the pure elements   -4.5 eV per formula unit
data_Tm5Ag2Au2
_chemical_formula_sum 'Tm20 Ag8 Au8'
_cell_length_a 16.198
_cell_length_b 7.340
_cell_length_c 7.440
_cell_angle_alpha 90.00
_cell_angle_beta 90.00
_cell_angle_gamma 90.00
_space_group_name_H-M_alt 'C m c e'
_space_group_IT_number 64
_space_group_name_Hall '-C 2ac 2'
loop_
_atom_site_label
_atom_site_fract_x
_atom_site_fract_y
_atom_site_fract_z
_atom_site_occupancy
Tm1 0.000 0.000 0.000 1
Tm2 0.139 0.175 0.326 1
Ag1 0.213 0.000 0.000 1
Au1 0.000 0.132 0.636 1